SrNb2InB | PBE-GGA | optimized geometry

Cell: 5.0110 5.0110 5.7433 Å, 90.00 90.00 90.00°
Positions (direct):
Sr1 0.0000 0.0000 0.0000
Nb1 0.0000 0.5000 0.0000
Nb2 0.5000 0.0000 0.0000
In1 0.0000 0.0000 0.5000
B1 0.5000 0.5000 0.5000

Values from the calculation:
As for the density: 4.59 g cm⁻³. The calculation puts the formation energy at 3079 meV/atom. Its symmetry is P4/mmm.



ZrMnTeI2 | PBE-GGA | optimized geometry

Cell: 5.7845 5.7845 5.6228 Å, 90.00 90.00 90.00°
Positions (direct):
Zr1 0.0000 0.0000 0.0000
Mn1 0.5000 0.5000 0.5000
Te1 0.0000 0.0000 0.5000
I1 0.0000 0.5000 0.0000
I2 0.5000 0.0000 0.0000

Values from the calculation:
Its raw total energy is -23.4 eV per cell. As for the density: 4.66 g cm⁻³. Its symmetry is P4/mmm.



TbTm2Fe | PBE-GGA | optimized geometry

Cell: 6.9978 9.0420 6.2105 Å, 90.00 90.00 90.00°
Positions (direct):
Tb1 0.0481 0.2500 0.1338
Tb2 0.4519 0.7500 0.6338
Tb3 0.5481 0.2500 0.3662
Tb4 0.9519 0.7500 0.8662
Tm1 0.1740 0.0666 0.6715
Tm2 0.1740 0.4334 0.6715
Tm3 0.3260 0.5666 0.1715
Tm4 0.3260 0.9334 0.1715
Tm5 0.6740 0.0666 0.8285
Tm6 0.6740 0.4334 0.8285
Tm7 0.8260 0.5666 0.3285
Tm8 0.8260 0.9334 0.3285
Fe1 0.1110 0.7500 0.4651
Fe2 0.3890 0.2500 0.9651
Fe3 0.6110 0.7500 0.0349
Fe4 0.8890 0.2500 0.5349

Values from the calculation:
As for the density: 9.34 g cm⁻³. The calculation puts the formation energy at -34 meV/atom. Its symmetry is Pnma.



PrHCN2 | PBE-GGA | optimized geometry

Cell: 4.9182 4.9182 7.6260 Å, 90.00 90.00 134.77°
Positions (direct):
Pr1 0.2248 0.7752 0.7500
Pr2 0.7752 0.2248 0.2500
H1 0.1013 0.8987 0.2500
H2 0.8987 0.1013 0.7500
C1 0.5000 0.5000 0.0000
C2 0.5000 0.5000 0.5000
N1 0.3705 0.6295 0.0487
N2 0.3705 0.6295 0.4513
N3 0.6295 0.3705 0.5487
N4 0.6295 0.3705 0.9513

Values from the calculation:
Its raw total energy is -74.6 eV per cell. As for the density: 4.61 g cm⁻³. Its symmetry is Cmcm.



RhW2Cl | PBE-GGA | optimized geometry

Cell: 2.9165 2.9165 6.9686 Å, 90.00 90.00 90.00°
Positions (direct):
Rh1 0.0000 0.0000 0.0000
W1 0.5000 0.5000 0.2611
W2 0.5000 0.5000 0.7389
Cl1 0.0000 0.0000 0.5000

Values from the calculation:
Its raw total energy is -32.7 eV per cell. As for the density: 14.18 g cm⁻³. Its symmetry is P4/mmm.



CeScCuRe | PBE-GGA | optimized geometry

Cell: 6.7373 6.7373 6.7373 Å, 90.00 90.00 90.00°
Positions (direct):
Ce1 0.0000 0.0000 0.0000
Ce2 0.0000 0.5000 0.5000
Ce3 0.5000 0.0000 0.5000
Ce4 0.5000 0.5000 0.0000
Sc1 0.0000 0.0000 0.5000
Sc2 0.0000 0.5000 0.0000
Sc3 0.5000 0.0000 0.0000
Sc4 0.5000 0.5000 0.5000
Cu1 0.2500 0.2500 0.7500
Cu2 0.2500 0.7500 0.2500
Cu3 0.7500 0.2500 0.2500
Cu4 0.7500 0.7500 0.7500
Re1 0.2500 0.2500 0.2500
Re2 0.2500 0.7500 0.7500
Re3 0.7500 0.2500 0.7500
Re4 0.7500 0.7500 0.2500

Values from the calculation:
As for the density: 9.44 g cm⁻³. The calculation puts the formation energy at -50 meV/atom. Its symmetry is F-43m.



Cr2MoP | PBE-GGA | optimized geometry

Cell: 5.8465 5.8465 5.8465 Å, 90.00 90.00 90.00°
Positions (direct):
Cr1 0.0000 0.0000 0.0000
Cr2 0.0000 0.5000 0.5000
Cr3 0.2500 0.2500 0.2500
Cr4 0.2500 0.7500 0.7500
Cr5 0.5000 0.0000 0.5000
Cr6 0.5000 0.5000 0.0000
Cr7 0.7500 0.2500 0.7500
Cr8 0.7500 0.7500 0.2500
Mo1 0.2500 0.2500 0.7500
Mo2 0.2500 0.7500 0.2500
Mo3 0.7500 0.2500 0.2500
Mo4 0.7500 0.7500 0.7500
P1 0.0000 0.0000 0.5000
P2 0.0000 0.5000 0.0000
P3 0.5000 0.0000 0.0000
P4 0.5000 0.5000 0.5000

Values from the calculation:
As for the density: 7.67 g cm⁻³. The calculation puts the formation energy at -12 meV/atom. Its symmetry is F-43m.



NpCu5Br12 | PBE-GGA | optimized geometry

Cell: 6.8974 6.8974 13.9482 Å, 97.56 97.56 97.25°
Positions (direct):
Np1 0.0000 0.0000 0.0000
Cu1 0.1666 0.8334 0.5000
Cu2 0.3178 0.6822 0.0000
Cu3 0.5000 0.5000 0.5000
Cu4 0.6822 0.3178 0.0000
Cu5 0.8334 0.1666 0.5000
Br1 0.1215 0.1215 0.6084
Br2 0.1463 0.7662 0.8556
Br3 0.2116 0.5447 0.3920
Br4 0.2338 0.8537 0.1444
Br5 0.3123 0.3123 0.9999
Br6 0.4553 0.7884 0.6080
Br7 0.5447 0.2116 0.3920
Br8 0.6877 0.6877 0.0001
Br9 0.7662 0.1463 0.8556
Br10 0.7884 0.4553 0.6080
Br11 0.8537 0.2338 0.1444
Br12 0.8785 0.8785 0.3916

Values from the calculation:
Its raw total energy is -63.5 eV per cell. As for the density: 3.90 g cm⁻³. Its symmetry is C2/m.



La2SiTc | PBE-GGA | optimized geometry

Cell: 4.2417 4.2417 22.6356 Å, 90.00 90.00 120.00°
Positions (direct):
La1 0.0000 0.0000 0.0000
La2 0.0000 0.0000 0.1700
La3 0.3333 0.6667 0.6667
La4 0.3333 0.6667 0.8367
La5 0.6667 0.3333 0.3333
La6 0.6667 0.3333 0.5033
Si1 0.0000 0.0000 0.4181
Si2 0.3333 0.6667 0.0847
Si3 0.6667 0.3333 0.7514
Tc1 0.0000 0.0000 0.7520
Tc2 0.3333 0.6667 0.4186
Tc3 0.6667 0.3333 0.0853

Values from the calculation:
Its raw total energy is -81.4 eV per cell. As for the density: 5.70 g cm⁻³. Its symmetry is R3m.



AgSn2Ge2 | PBE-GGA | optimized geometry

Cell: 7.7593 7.7593 4.0004 Å, 90.00 90.00 90.00°
Positions (direct):
Ag1 0.0000 0.0000 0.0000
Ag2 0.5000 0.5000 0.0000
Sn1 0.1632 0.3368 0.0000
Sn2 0.3368 0.8368 0.0000
Sn3 0.6632 0.1632 0.0000
Sn4 0.8368 0.6632 0.0000
Ge1 0.1255 0.6255 0.5000
Ge2 0.3745 0.1255 0.5000
Ge3 0.6255 0.8745 0.5000
Ge4 0.8745 0.3745 0.5000

Values from the calculation:
As for the density: 6.76 g cm⁻³. The calculation puts the formation energy at 258 meV/atom. Its symmetry is P4/mbm.



PmHg6Au | PBE-GGA | optimized geometry

Cell: 6.1160 6.1160 6.1160 Å, 91.43 91.43 91.43°
Positions (direct):
Pm1 0.0000 0.0000 0.0000
Hg1 0.1727 0.1727 0.5492
Hg2 0.1727 0.5491 0.1727
Hg3 0.4508 0.8273 0.8273
Hg4 0.5492 0.1727 0.1727
Hg5 0.8273 0.4508 0.8273
Hg6 0.8273 0.8273 0.4508
Au1 0.5000 0.5000 0.5000

Values from the calculation:
As for the density: 11.23 g cm⁻³. The calculation puts the formation energy at -77 meV/atom. Its symmetry is R-3m.



AcLa2HoSe4 | PBE-GGA | optimized geometry

Cell: 7.4250 4.2511 7.5070 Å, 90.00 108.95 90.00°
Positions (direct):
Ac1 0.0000 0.0000 0.0000
La1 0.5000 0.0000 0.5000
La2 0.5000 0.5000 0.0000
Ho1 0.0000 0.5000 0.5000
Se1 0.2375 0.0000 0.7311
Se2 0.2485 0.5000 0.2652
Se3 0.7515 0.5000 0.7348
Se4 0.7625 0.0000 0.2689

Values from the calculation:
Its raw total energy is -47.5 eV per cell. As for the density: 7.30 g cm⁻³. Its symmetry is P2/m.